Entry w
DFT (PBE-GGA) results for a geometry-optimized NaCrP3 structure.

Values from the calculation:
- Space group: Pm-3m
- DOS at the Fermi energy: 6.01 states/eV/f.u.
- Theoretical density: 3.009 g cm⁻³
- Spin magnetization: 0.00 μB per atom

The structure in POSCAR format:
```
NaCrP3
1.0
4.525 0.000 0.000
0.000 4.525 0.000
0.000 0.000 4.525
Na Cr P
1 1 3
direct
0.000 0.000 0.000
0.500 0.500 0.500
0.000 0.500 0.500
0.500 0.000 0.500
0.500 0.500 0.000
```

=====

Entry x
DFT (PBE-GGA) results for a geometry-optimized NaCrP3 structure.

Values from the calculation:
- Space group: Pm-3m
- DOS at the Fermi energy: 5.53 states/eV/f.u.
- Theoretical density: 2.704 g cm⁻³
- Spin magnetization: 0.07 μB per atom

The structure in POSCAR format:
```
NaCrP3
1.0
4.689 0.000 0.000
0.000 4.689 0.000
0.000 0.000 4.689
Na Cr P
1 1 3
direct
0.000 0.000 0.000
0.500 0.500 0.500
0.000 0.000 0.500
0.000 0.500 0.000
0.500 0.000 0.000
```

=====

Need the numbers? Relative energies in kJ/mol of atoms: entry w 0.0; entry x 172.9.

=====

Entry w
DFT (PBE-GGA) results for a geometry-optimized Na2Cr2P structure.

Values from the calculation:
- Space group: P4/mbm
- DOS at the Fermi energy: 3.62 states/eV/f.u.
- Theoretical density: 2.958 g cm⁻³
- Spin magnetization: 0.00 μB per atom

The structure in POSCAR format:
```
Na2Cr2P
1.0
8.541 0.000 0.000
0.000 8.541 0.000
0.000 0.000 2.785
Na Cr P
4 4 2
direct
0.212 0.288 0.000
0.288 0.788 0.000
0.712 0.212 0.000
0.788 0.712 0.000
0.074 0.574 0.500
0.426 0.074 0.500
0.574 0.926 0.500
0.926 0.426 0.500
0.000 0.000 0.000
0.500 0.500 0.000
```

=====

Entry x
DFT (PBE-GGA) results for a geometry-optimized Na2Cr2P structure.

Values from the calculation:
- Space group: I4/mmm
- DOS at the Fermi energy: 3.95 states/eV/f.u.
- Theoretical density: 3.139 g cm⁻³
- Spin magnetization: 0.00 μB per atom

The structure in POSCAR format:
```
Na2Cr2P
1.0
-1.549 1.549 9.971
1.549 -1.549 9.971
1.549 1.549 -9.971
Na Cr P
2 2 1
direct
0.101 0.101 0.000
0.899 0.899 0.000
0.250 0.750 0.500
0.750 0.250 0.500
0.500 0.500 0.000
```

=====

Need the numbers? Relative energies in kJ/mol of atoms: entry w 43.5; entry x 0.0.

=====

Entry w
DFT (PBE-GGA) results for a geometry-optimized Na2CrReP structure.

Values from the calculation:
- Space group: P4/mmm
- DOS at the Fermi energy: 3.00 states/eV/f.u.
- Theoretical density: 4.297 g cm⁻³
- Spin magnetization: 0.35 μB per atom

The structure in POSCAR format:
```
Na2CrReP
1.0
5.180 0.000 0.000
0.000 5.180 0.000
0.000 0.000 4.538
Na Cr Re P
2 1 1 1
direct
0.000 0.500 0.000
0.500 0.000 0.000
0.000 0.000 0.000
0.000 0.000 0.500
0.500 0.500 0.500
```

=====

Entry x
DFT (PBE-GGA) results for a geometry-optimized Na2CrReP structure.

Values from the calculation:
- Space group: P4/mmm
- DOS at the Fermi energy: 4.20 states/eV/f.u.
- Theoretical density: 3.828 g cm⁻³
- Spin magnetization: 1.61 μB per atom

The structure in POSCAR format:
```
Na2CrReP
1.0
5.578 0.000 0.000
0.000 5.578 0.000
0.000 0.000 4.395
Na Cr Re P
2 1 1 1
direct
0.000 0.500 0.000
0.500 0.000 0.000
0.000 0.000 0.000
0.500 0.500 0.500
0.000 0.000 0.500
```

=====

Need the numbers? Relative energies in kJ/mol of atoms: entry w 1.9; entry x 0.0.

=====

Entry w
DFT (PBE-GGA) results for a geometry-optimized NaCrP2S6 structure.

Values from the calculation:
- Space group: P2_1/c
- Theoretical density: 2.269 g cm⁻³
- Spin magnetization: 0.30 μB per atom

The structure in POSCAR format:
```
NaCrP2S6
1.0
7.597 0.000 0.000
0.000 5.976 0.000
-6.969 0.000 21.231
Na Cr P S
4 4 8 24
direct
0.243 0.032 0.272
0.243 0.468 0.772
0.757 0.532 0.228
0.757 0.968 0.728
0.023 0.749 0.542
0.023 0.751 0.042
0.977 0.249 0.958
0.977 0.251 0.458
0.080 0.743 0.885
0.080 0.757 0.385
0.221 0.244 0.128
0.221 0.256 0.628
0.779 0.744 0.372
0.779 0.756 0.872
0.920 0.243 0.615
0.920 0.257 0.115
0.145 0.610 0.315
0.145 0.890 0.815
0.149 0.087 0.394
0.149 0.413 0.894
0.175 0.579 0.472
0.175 0.921 0.972
0.218 0.078 0.545
0.218 0.422 0.045
0.274 0.589 0.625
0.274 0.911 0.125
0.366 0.106 0.706
0.366 0.394 0.206
0.634 0.606 0.794
0.634 0.894 0.294
0.726 0.089 0.875
0.726 0.411 0.375
0.782 0.578 0.955
0.782 0.922 0.455
0.825 0.079 0.028
0.825 0.421 0.528
0.851 0.587 0.106
0.851 0.913 0.606
0.855 0.110 0.185
0.855 0.390 0.685
```

=====

Entry x
DFT (PBE-GGA) results for a geometry-optimized NaCrP2S6 structure.

Values from the calculation:
- Space group: Fdd2
- Theoretical density: 2.248 g cm⁻³
- Spin magnetization: 0.30 μB per atom

The structure in POSCAR format:
```
NaCrP2S6
1.0
0.000 5.588 10.451
4.166 0.000 10.451
4.166 5.588 0.000
Na Cr P S
2 2 4 12
direct
0.000 0.000 0.000
0.250 0.250 0.250
0.662 0.662 0.338
0.912 0.912 0.588
0.243 0.906 0.374
0.773 0.876 0.344
0.876 0.773 0.007
0.906 0.243 0.477
0.028 0.638 0.436
0.125 0.678 0.812
0.214 0.766 0.304
0.351 0.814 0.612
0.438 0.865 0.125
0.534 0.946 0.484
0.638 0.028 0.899
0.678 0.125 0.385
0.766 0.214 0.716
0.814 0.351 0.222
0.865 0.438 0.572
0.946 0.534 0.036
```

=====

Need the numbers? Relative energies in kJ/mol of atoms: entry w 1.1; entry x 0.0.

=====

Entry w
DFT (PBE-GGA) results for a geometry-optimized NaTa2CrP structure.

Values from the calculation:
- Space group: P4/mmm
- DOS at the Fermi energy: 4.21 states/eV/f.u.
- Theoretical density: 8.090 g cm⁻³
- Spin magnetization: 0.51 μB per atom

The structure in POSCAR format:
```
NaTa2CrP
1.0
4.725 0.000 0.000
0.000 4.725 0.000
0.000 0.000 4.301
Na Ta Cr P
1 2 1 1
direct
0.000 0.000 0.000
0.000 0.500 0.000
0.500 0.000 0.000
0.000 0.000 0.500
0.500 0.500 0.500
```

=====

Entry x
DFT (PBE-GGA) results for a geometry-optimized NaTa2CrP structure.

Values from the calculation:
- Space group: P4/mmm
- DOS at the Fermi energy: 4.63 states/eV/f.u.
- Theoretical density: 7.566 g cm⁻³
- Spin magnetization: 0.00 μB per atom

The structure in POSCAR format:
```
NaTa2CrP
1.0
4.517 0.000 0.000
0.000 4.517 0.000
0.000 0.000 5.033
Na Ta Cr P
1 2 1 1
direct
0.000 0.000 0.000
0.000 0.500 0.500
0.500 0.000 0.500
0.000 0.000 0.500
0.500 0.500 0.000
```

=====

Need the numbers? Relative energies in kJ/mol of atoms: entry w 92.9; entry x 0.0.

=====

Entry w
DFT (PBE-GGA) results for a geometry-optimized Na3CrPb structure.

Values from the calculation:
- Space group: Pm-3m
- DOS at the Fermi energy: 3.07 states/eV/f.u.
- Theoretical density: 3.101 g cm⁻³
- Spin magnetization: 0.94 μB per atom

The structure in POSCAR format:
```
Na3CrPb
1.0
5.601 0.000 0.000
0.000 5.601 0.000
0.000 0.000 5.601
Na Cr Pb
3 1 1
direct
0.000 0.000 0.500
0.000 0.500 0.000
0.500 0.000 0.000
0.000 0.000 0.000
0.500 0.500 0.500
```

=====

Entry x
DFT (PBE-GGA) results for a geometry-optimized Na3CrPb structure.

Values from the calculation:
- Space group: Pm-3m
- DOS at the Fermi energy: 2.68 states/eV/f.u.
- Theoretical density: 2.653 g cm⁻³
- Spin magnetization: 1.00 μB per atom

The structure in POSCAR format:
```
Na3CrPb
1.0
5.900 0.000 0.000
0.000 5.900 0.000
0.000 0.000 5.900
Na Cr Pb
3 1 1
direct
0.000 0.000 0.500
0.000 0.500 0.000
0.500 0.000 0.000
0.500 0.500 0.500
0.000 0.000 0.000
```

=====

Need the numbers? Relative energies in kJ/mol of atoms: entry w 1.1; entry x 0.0.

=====

Entry w
DFT (PBE-GGA) results for a geometry-optimized NaCr2Pb2 structure.

Values from the calculation:
- Space group: P4/mbm
- DOS at the Fermi energy: 3.66 states/eV/f.u.
- Theoretical density: 8.417 g cm⁻³
- Spin magnetization: 0.00 μB per atom

The structure in POSCAR format:
```
NaCr2Pb2
1.0
8.235 0.000 0.000
0.000 8.235 0.000
0.000 0.000 3.150
Na Cr Pb
2 4 4
direct
0.000 0.000 0.000
0.500 0.500 0.000
0.083 0.417 0.000
0.417 0.917 0.000
0.583 0.083 0.000
0.917 0.583 0.000
0.192 0.692 0.500
0.308 0.192 0.500
0.692 0.808 0.500
0.808 0.308 0.500
```

=====

Entry x
DFT (PBE-GGA) results for a geometry-optimized NaCr2Pb2 structure.

Values from the calculation:
- Space group: I4/mmm
- DOS at the Fermi energy: 3.67 states/eV/f.u.
- Theoretical density: 8.349 g cm⁻³
- Spin magnetization: 0.00 μB per atom

The structure in POSCAR format:
```
NaCr2Pb2
1.0
-1.679 1.679 9.545
1.679 -1.679 9.545
1.679 1.679 -9.545
Na Cr Pb
1 2 2
direct
0.000 0.000 0.000
0.250 0.750 0.500
0.750 0.250 0.500
0.373 0.373 0.000
0.627 0.627 0.000
```

=====

Entry y
DFT (PBE-GGA) results for a geometry-optimized NaCr2Pb2 structure.

Values from the calculation:
- Space group: P4/mbm
- DOS at the Fermi energy: 4.26 states/eV/f.u.
- Theoretical density: 8.172 g cm⁻³
- Spin magnetization: 0.00 μB per atom

The structure in POSCAR format:
```
NaCr2Pb2
1.0
8.434 0.000 0.000
0.000 8.434 0.000
0.000 0.000 3.093
Na Cr Pb
2 4 4
direct
0.000 0.000 0.000
0.500 0.500 0.000
0.081 0.419 0.500
0.419 0.919 0.500
0.581 0.081 0.500
0.919 0.581 0.500
0.189 0.689 0.000
0.311 0.189 0.000
0.689 0.811 0.000
0.811 0.311 0.000
```

=====

Need the numbers? Relative energies in kJ/mol of atoms: entry w 16.6; entry x 0.0; entry y 21.2.

=====

Entry w
DFT (PBE-GGA) results for a geometry-optimized NaCrPt3 structure.

Values from the calculation:
- Space group: Pm-3m
- DOS at the Fermi energy: 7.67 states/eV/f.u.
- Theoretical density: 11.741 g cm⁻³
- Spin magnetization: 0.01 μB per atom

The structure in POSCAR format:
```
NaCrPt3
1.0
4.537 0.000 0.000
0.000 4.537 0.000
0.000 0.000 4.537
Na Cr Pt
1 1 3
direct
0.000 0.000 0.000
0.500 0.500 0.500
0.000 0.000 0.500
0.000 0.500 0.000
0.500 0.000 0.000
```

=====

Entry x
DFT (PBE-GGA) results for a geometry-optimized NaCrPt3 structure.

Values from the calculation:
- Space group: Pm-3m
- DOS at the Fermi energy: 5.31 states/eV/f.u.
- Theoretical density: 10.878 g cm⁻³
- Spin magnetization: 0.00 μB per atom

The structure in POSCAR format:
```
NaCrPt3
1.0
4.654 0.000 0.000
0.000 4.654 0.000
0.000 0.000 4.654
Na Cr Pt
1 1 3
direct
0.000 0.000 0.000
0.500 0.500 0.500
0.000 0.500 0.500
0.500 0.000 0.500
0.500 0.500 0.000
```

=====

Need the numbers? Relative energies in kJ/mol of atoms: entry w 119.4; entry x 0.0.

=====

Entry w
DFT (PBE-GGA) results for a geometry-optimized NaCr2Pt structure.

Values from the calculation:
- Space group: I-42d
- DOS at the Fermi energy: 5.70 states/eV/f.u.
- Theoretical density: 6.436 g cm⁻³
- Spin magnetization: 2.06 μB per atom

The structure in POSCAR format:
```
NaCr2Pt
1.0
-3.801 3.801 2.876
3.801 -3.801 2.876
3.801 3.801 -2.876
Na Cr Pt
2 4 2
direct
0.000 0.000 0.000
0.750 0.250 0.500
0.178 0.625 0.053
0.375 0.428 0.553
0.572 0.125 0.947
0.875 0.822 0.447
0.250 0.750 0.500
0.500 0.500 0.000
```

=====

Entry x
DFT (PBE-GGA) results for a geometry-optimized NaCr2Pt structure.

Values from the calculation:
- Space group: Fm-3m
- DOS at the Fermi energy: 5.05 states/eV/f.u.
- Theoretical density: 7.808 g cm⁻³
- Spin magnetization: 2.12 μB per atom

The structure in POSCAR format:
```
NaCr2Pt
1.0
0.000 3.247 3.247
3.247 0.000 3.247
3.247 3.247 0.000
Na Cr Pt
1 2 1
direct
0.000 0.000 0.000
0.250 0.250 0.250
0.750 0.750 0.750
0.500 0.500 0.500
```

=====

Need the numbers? Relative energies in kJ/mol of atoms: entry w 26.2; entry x 0.0.

=====

Entry w
DFT (PBE-GGA) results for a geometry-optimized Na2CrPt2 structure.

Values from the calculation:
- Space group: I4/mmm
- DOS at the Fermi energy: 2.23 states/eV/f.u.
- Theoretical density: 8.557 g cm⁻³
- Spin magnetization: 0.85 μB per atom

The structure in POSCAR format:
```
Na2CrPt2
1.0
-2.407 2.407 4.087
2.407 -2.407 4.087
2.407 2.407 -4.087
Na Cr Pt
2 1 2
direct
0.131 0.131 0.000
0.869 0.869 0.000
0.500 0.500 0.000
0.250 0.750 0.500
0.750 0.250 0.500
```

=====

Entry x
DFT (PBE-GGA) results for a geometry-optimized Na2CrPt2 structure.

Values from the calculation:
- Space group: P4/mbm
- DOS at the Fermi energy: 2.54 states/eV/f.u.
- Theoretical density: 9.020 g cm⁻³
- Spin magnetization: 0.86 μB per atom

The structure in POSCAR format:
```
Na2CrPt2
1.0
7.952 0.000 0.000
0.000 7.952 0.000
0.000 0.000 2.842
Na Cr Pt
4 2 4
direct
0.111 0.389 0.000
0.389 0.889 0.000
0.611 0.111 0.000
0.889 0.611 0.000
0.000 0.000 0.000
0.500 0.500 0.000
0.190 0.690 0.500
0.310 0.190 0.500
0.690 0.810 0.500
0.810 0.310 0.500
```

=====

Need the numbers? Relative energies in kJ/mol of atoms: entry w 32.4; entry x 0.0.

=====

Entry w
DFT (PBE-GGA) results for a geometry-optimized RbNa2CrS structure.

Values from the calculation:
- Space group: P4/mmm
- DOS at the Fermi energy: 3.41 states/eV/f.u.
- Theoretical density: 2.205 g cm⁻³
- Spin magnetization: 0.84 μB per atom

The structure in POSCAR format:
```
RbNa2CrS
1.0
5.886 0.000 0.000
0.000 5.886 0.000
0.000 0.000 4.686
Rb Na Cr S
1 2 1 1
direct
0.000 0.000 0.000
0.000 0.500 0.500
0.500 0.000 0.500
0.500 0.500 0.000
0.500 0.500 0.500
```

=====

Entry x
DFT (PBE-GGA) results for a geometry-optimized RbNa2CrS structure.

Values from the calculation:
- Space group: P4/mmm
- DOS at the Fermi energy: 0.11 states/eV/f.u.
- Theoretical density: 1.823 g cm⁻³
- Spin magnetization: 1.00 μB per atom

The structure in POSCAR format:
```
RbNa2CrS
1.0
5.576 0.000 0.000
0.000 5.576 0.000
0.000 0.000 6.311
Rb Na Cr S
1 2 1 1
direct
0.000 0.000 0.000
0.000 0.500 0.500
0.500 0.000 0.500
0.000 0.000 0.500
0.500 0.500 0.000
```

=====

Need the numbers? Relative energies in kJ/mol of atoms: entry w 0.0; entry x 62.1.

=====

Entry w
DFT (PBE-GGA) results for a geometry-optimized Na3CrRe structure.

Values from the calculation:
- Space group: Pm-3m
- DOS at the Fermi energy: 4.19 states/eV/f.u.
- Theoretical density: 2.664 g cm⁻³
- Spin magnetization: 1.68 μB per atom

The structure in POSCAR format:
```
Na3CrRe
1.0
5.764 0.000 0.000
0.000 5.764 0.000
0.000 0.000 5.764
Na Cr Re
3 1 1
direct
0.000 0.000 0.500
0.000 0.500 0.000
0.500 0.000 0.000
0.500 0.500 0.500
0.000 0.000 0.000
```

=====

Entry x
DFT (PBE-GGA) results for a geometry-optimized Na3CrRe structure.

Values from the calculation:
- Space group: Pm-3m
- DOS at the Fermi energy: 5.11 states/eV/f.u.
- Theoretical density: 2.960 g cm⁻³
- Spin magnetization: 1.86 μB per atom

The structure in POSCAR format:
```
Na3CrRe
1.0
5.565 0.000 0.000
0.000 5.565 0.000
0.000 0.000 5.565
Na Cr Re
3 1 1
direct
0.000 0.000 0.500
0.000 0.500 0.000
0.500 0.000 0.000
0.000 0.000 0.000
0.500 0.500 0.500
```

=====

Need the numbers? Relative energies in kJ/mol of atoms: entry w 0.0; entry x 3.8.